No. 1
The following is a PBE calculation of an optimized crystal structure of SbAsW4C2, from the Open Quantum Materials Database.

a = 3.263 Å, b = 3.263 Å, c = 12.528 Å
α = 90.00°, β = 90.00°, γ = 120.00°
Fractional positions:
Sb 0.000 0.000 0.000
As 0.333 0.667 0.500
W 0.000 0.000 0.348
W 0.000 0.000 0.652
W 0.333 0.667 0.179
W 0.333 0.667 0.821
C 0.667 0.333 0.259
C 0.667 0.333 0.741

---

No. 2
The following is a PBE calculation of an optimized crystal structure of Zr4SbAsC2, from the Open Quantum Materials Database.

a = 3.452 Å, b = 3.452 Å, c = 13.458 Å
α = 90.00°, β = 90.00°, γ = 120.00°
Fractional positions:
Zr 0.000 0.000 0.144
Zr 0.000 0.000 0.856
Zr 0.333 0.667 0.329
Zr 0.333 0.667 0.671
Sb 0.000 0.000 0.500
As 0.333 0.667 0.000
C 0.667 0.333 0.238
C 0.667 0.333 0.762

---

No. 3
The following is a PBE calculation of an optimized crystal structure of Sc2Ta4As3C3, from the Open Quantum Materials Database.

a = 5.772 Å, b = 5.772 Å, c = 12.677 Å
α = 103.17°, β = 103.17°, γ = 60.08°
Fractional positions:
Sc 0.035 0.873 0.602
Sc 0.127 0.965 0.898
Sc 0.873 0.035 0.102
Sc 0.965 0.127 0.398
Ta 0.197 0.358 0.093
Ta 0.296 0.476 0.407
Ta 0.358 0.197 0.593
Ta 0.476 0.296 0.907
Ta 0.524 0.704 0.093
Ta 0.642 0.803 0.407
Ta 0.704 0.524 0.593
Ta 0.803 0.642 0.907
As 0.084 0.255 0.751
As 0.255 0.084 0.251
As 0.422 0.578 0.750
As 0.578 0.422 0.250
As 0.745 0.916 0.749
As 0.916 0.745 0.249
C 0.000 0.500 0.500
C 0.171 0.658 0.000
C 0.342 0.829 0.500
C 0.500 0.000 0.000
C 0.658 0.171 0.500
C 0.829 0.342 0.000

---

No. 4
The following is a PBE calculation of an optimized crystal structure of TmScAs2C4, from the Open Quantum Materials Database.

a = 3.705 Å, b = 3.705 Å, c = 8.682 Å
α = 90.00°, β = 90.00°, γ = 120.00°
Fractional positions:
Tm 0.000 0.000 0.000
Sc 0.000 0.000 0.500
As 0.333 0.667 0.742
As 0.667 0.333 0.258
C 0.333 0.667 0.162
C 0.333 0.667 0.348
C 0.667 0.333 0.652
C 0.667 0.333 0.838

---

No. 5
The following is a PBE calculation of an optimized crystal structure of Sc2As3W4C3, from the Open Quantum Materials Database.

a = 5.692 Å, b = 5.692 Å, c = 12.452 Å
α = 102.85°, β = 102.85°, γ = 60.43°
Fractional positions:
Sc 0.034 0.872 0.606
Sc 0.128 0.966 0.894
Sc 0.872 0.034 0.106
Sc 0.966 0.128 0.394
As 0.079 0.272 0.748
As 0.272 0.079 0.248
As 0.434 0.566 0.750
As 0.566 0.434 0.250
As 0.728 0.921 0.752
As 0.921 0.728 0.252
W 0.198 0.352 0.085
W 0.300 0.482 0.415
W 0.352 0.198 0.585
W 0.482 0.300 0.915
W 0.518 0.700 0.085
W 0.648 0.802 0.415
W 0.700 0.518 0.585
W 0.802 0.648 0.915
C 0.000 0.500 0.500
C 0.167 0.664 0.999
C 0.336 0.833 0.501
C 0.500 0.000 0.000
C 0.664 0.167 0.499
C 0.833 0.336 0.001

---

No. 6
The following is a PBE calculation of an optimized crystal structure of Sc4As3W2C3, from the Open Quantum Materials Database.

a = 5.746 Å, b = 5.746 Å, c = 12.941 Å
α = 102.70°, β = 102.70°, γ = 60.51°
Fractional positions:
Sc 0.043 0.190 0.101
Sc 0.122 0.301 0.399
Sc 0.190 0.043 0.601
Sc 0.301 0.122 0.899
Sc 0.699 0.878 0.101
Sc 0.810 0.957 0.399
Sc 0.878 0.699 0.601
Sc 0.957 0.810 0.899
As 0.120 0.880 0.250
As 0.282 0.414 0.750
As 0.414 0.282 0.250
As 0.586 0.718 0.750
As 0.718 0.586 0.250
As 0.880 0.120 0.750
W 0.348 0.526 0.081
W 0.474 0.652 0.419
W 0.526 0.348 0.581
W 0.652 0.474 0.919
C 0.000 0.500 0.000
C 0.184 0.658 0.500
C 0.342 0.816 0.000
C 0.500 0.000 0.500
C 0.658 0.184 0.000
C 0.816 0.342 0.500

---

no.,E (eV/cell)
1,-76.79
2,-68.46
3,-221.08
4,-51.28
5,-220.23
6,-201.41